Computed, not measured: crystalline PmTmInHg at its relaxed geometry at the PBE level of DFT.

- Space-group type: F-43m
- VASP energy: -3.518 eV per atom
- ΔE_f: -452 meV per atom
- Magnetic moment: 0.13 μB/f.u.

Lattice parameters (Å, degrees): 5.340 5.340 5.340 60.00 60.00 60.00
Sites, in units of the cell vectors:
Tm (0.500, 0.500, 0.500)
Hg (0.750, 0.750, 0.750)
Pm (0.000, 0.000, 0.000)
In (0.250, 0.250, 0.250)